Record 1
A plane-wave DFT calculation with PBE was carried out for Tb5Ho12Tm after structural relaxation.

**Uncorrected energy**: -4.5628 eV/atom
**Density of states at the Fermi level**: 26.4 states/eV per cell
**Magnetic moment**: 0.0 μB/f.u.

Cell lengths 6.106, 8.641, 10.575 Å; angles 89.75, 89.90, 89.84 degrees
Fractional coordinates of all 18 atoms:
Tb1 0.000 0.000 0.000
Tb2 0.000 0.000 0.334
Tb3 0.000 0.000 0.666
Tb4 0.500 0.000 0.167
Tb5 0.500 0.000 0.833
Ho1 0.167 0.666 0.167
Ho2 0.167 0.666 0.833
Ho3 0.168 0.666 0.500
Ho4 0.333 0.334 0.000
Ho5 0.333 0.334 0.334
Ho6 0.333 0.334 0.666
Ho7 0.667 0.666 0.000
Ho8 0.667 0.666 0.334
Ho9 0.667 0.666 0.666
Ho10 0.832 0.334 0.500
Ho11 0.833 0.334 0.167
Ho12 0.833 0.334 0.833
Tm1 0.500 0.000 0.500

***

Record 2
A plane-wave DFT calculation with PBE was carried out for Zr2SbCl after structural relaxation.

**Uncorrected energy**: -6.3517 eV/atom
**Uncorrected formation energy**: -585 meV/atom
**Density of states at the Fermi level**: 2.1 states/eV per cell
**Magnetic moment**: 0.0 μB/f.u.

Cell lengths 11.356, 3.419, 4.718 Å; angles 90.00, 99.91, 90.00 degrees
Fractional coordinates of all 8 atoms:
Zr1 0.000 0.000 0.000
Zr2 0.193 0.500 0.431
Zr3 0.500 0.500 0.000
Zr4 0.693 0.000 0.431
Sb1 0.421 0.000 0.458
Sb2 0.921 0.500 0.458
Cl1 0.204 0.000 0.861
Cl2 0.704 0.500 0.861

***

Record 3
A plane-wave DFT calculation with PBE was carried out for Zr2ScRh after structural relaxation.

**Uncorrected energy**: -8.1262 eV/atom
**Density of states at the Fermi level**: 11.0 states/eV per cell
**Magnetic moment**: 0.0 μB/f.u.

Cell lengths 3.365, 9.406, 5.595 Å; angles 90.00, 107.38, 90.00 degrees
Fractional coordinates of all 8 atoms:
Zr1 0.136 0.050 0.270
Zr2 0.136 0.450 0.270
Zr3 0.864 0.550 0.730
Zr4 0.864 0.950 0.730
Sc1 0.424 0.250 0.850
Sc2 0.576 0.750 0.150
Rh1 0.278 0.750 0.556
Rh2 0.722 0.250 0.444